## LiBS2 (PBE)

Data for LiBS2 after structural relaxation.

Summary:
DFT total energy: -56.7 eV/cell
energy relative to the elements, uncorrected: -0.5170 eV per atom
M_tot: 0.00 μB per cell

Cell lengths 3.3759, 3.3759, 18.6735 Å; angles 90.00, 90.00, 120.00 degrees
Space group R3m (No. 160, hexagonal axes)
Unique sites:
Li 0.0000 0.0000 0.0000 [3 per cell]
B 0.0000 0.0000 0.4879 [3 per cell]
S 0.0000 0.0000 0.3936 [3 per cell]
S 0.0000 0.0000 0.8663 [3 per cell]